First-principles (PBE) data for a geometry-optimized CaTlTeI structure, as listed in Alexandria.

POSCAR file:
```
CaTlTeI
1.0
2.2917 1.3231 8.6432
-2.2917 1.3231 8.6432
0.0000 -2.6462 8.6432
Ca Tl Te I
1 1 1 1
Direct
0.0000 0.0000 0.0000
0.8089 0.8089 0.8089
0.3994 0.3994 0.3994
0.5946 0.5946 0.5946
```

* total energy: -3.402 eV/atom
* space group: R3m, No. 160
* total magnetization: 0.000 μB per cell